BMoP2Os | PBE | optimized geometry

* ΔE_f: 842 meV/atom

Cell lengths 4.2214, 4.2214, 3.8186 Å; angles 90.00, 90.00, 90.00 degrees
Closest atoms and distances in Å follow each position.
Sites, in units of the cell vectors:
B 0.0000 0.0000 0.0000  2 Os 1.91, 4 P 2.11
Mo 0.5000 0.5000 0.5000  8 P 2.85, 4 Os 2.99
P 0.0000 0.5000 0.0000  2 B 2.11
P 0.5000 0.0000 0.0000  2 B 2.11
Os 0.0000 0.0000 0.5000  2 B 1.91